# AcLa7Sm2

A relaxed AcLa7Sm2 crystal (GGA-PBE, Alexandria via LeMat-Bulk). Values from VASP.

Quantum ESPRESSO input file:
```
&SYSTEM
  ibrav = 0, nat = 10, ntyp = 3
/
ATOMIC_SPECIES
Ac 227.00 Ac.upf
La 138.91 La.upf
Sm 150.36 Sm.upf
CELL_PARAMETERS angstrom
6.456 0.000 0.000
1.078 6.399 0.000
3.228 2.738 8.938
ATOMIC_POSITIONS crystal
Ac 0.000 0.000 0.000
La 0.101 0.495 0.302
La 0.202 0.001 0.597
La 0.307 0.500 0.898
La 0.500 0.500 0.500
La 0.693 0.500 0.102
La 0.798 0.999 0.403
La 0.899 0.505 0.698
Sm 0.398 0.999 0.201
Sm 0.602 0.001 0.799
```

## Properties
As for the magnetization: 0.00 μB/cell. The space group is P-1. The energy relative to the elements is 18 kJ/mol of formula units. For the energy above the lowest structure with this stoichiometry, the calculation gives 0.00 eV per formula unit.

---

# Ac3La4Sm

A relaxed Ac3La4Sm crystal (GGA-PBE, Alexandria via LeMat-Bulk). Values from VASP.

Quantum ESPRESSO input file:
```
&SYSTEM
  ibrav = 0, nat = 16, ntyp = 3
/
ATOMIC_SPECIES
Ac 227.00 Ac.upf
La 138.91 La.upf
Sm 150.36 Sm.upf
CELL_PARAMETERS angstrom
12.340 0.000 0.000
0.000 7.769 0.000
0.000 0.000 6.646
ATOMIC_POSITIONS crystal
Ac 0.000 0.130 0.000
Ac 0.248 0.135 0.355
Ac 0.252 0.865 0.855
Ac 0.500 0.870 0.500
Ac 0.748 0.865 0.855
Ac 0.752 0.135 0.355
La 0.000 0.395 0.525
La 0.000 0.617 0.025
La 0.246 0.622 0.343
La 0.254 0.378 0.843
La 0.500 0.383 0.525
La 0.500 0.605 0.025
La 0.746 0.378 0.843
La 0.754 0.622 0.343
Sm 0.000 0.870 0.505
Sm 0.500 0.130 0.005
```

## Properties
As for the magnetization: 0.00 μB/cell. The space group is Pmn2_1. The energy relative to the elements is 31 kJ/mol of formula units. For the energy above the lowest structure with this stoichiometry, the calculation gives 0.12 eV per formula unit.

---

# AcLa7Sm3

A relaxed AcLa7Sm3 crystal (GGA-PBE, Alexandria via LeMat-Bulk). Values from VASP.

Quantum ESPRESSO input file:
```
&SYSTEM
  ibrav = 0, nat = 11, ntyp = 3
/
ATOMIC_SPECIES
Ac 227.00 Ac.upf
La 138.91 La.upf
Sm 150.36 Sm.upf
CELL_PARAMETERS angstrom
7.425 0.000 0.000
-3.713 6.430 0.000
0.000 0.000 8.780
ATOMIC_POSITIONS crystal
Ac 0.000 0.000 0.000
La 0.333 0.667 0.307
La 0.339 0.169 0.334
La 0.501 0.002 0.976
La 0.501 0.499 0.976
La 0.831 0.169 0.334
La 0.831 0.661 0.334
La 0.998 0.499 0.976
Sm 0.168 0.336 0.652
Sm 0.168 0.832 0.652
Sm 0.664 0.832 0.652
```

## Properties
As for the magnetization: 0.00 μB/cell. The space group is P3m1. The energy relative to the elements is 180 kJ/mol of formula units.

---

# Ac8La5Sm

A relaxed Ac8La5Sm crystal (GGA-PBE, Alexandria via LeMat-Bulk). Values from VASP.

Quantum ESPRESSO input file:
```
&SYSTEM
  ibrav = 0, nat = 14, ntyp = 3
/
ATOMIC_SPECIES
Ac 227.00 Ac.upf
La 138.91 La.upf
Sm 150.36 Sm.upf
CELL_PARAMETERS angstrom
-5.187 5.187 5.483
5.187 -5.187 5.483
5.187 5.187 -5.483
ATOMIC_POSITIONS crystal
Ac 0.077 0.334 0.605
Ac 0.173 0.442 0.105
Ac 0.336 0.068 0.895
Ac 0.528 0.923 0.258
Ac 0.558 0.664 0.732
Ac 0.666 0.270 0.742
Ac 0.730 0.472 0.395
Ac 0.932 0.827 0.268
La 0.027 0.724 0.900
La 0.276 0.176 0.303
La 0.500 0.500 0.000
La 0.824 0.127 0.100
La 0.873 0.973 0.697
Sm 0.250 0.750 0.500
```

## Properties
As for the magnetization: 0.00 μB/cell. The space group is I-4. The energy relative to the elements is 292 kJ/mol of formula units.

---

# Ac3La2Sm5

A relaxed Ac3La2Sm5 crystal (GGA-PBE, Alexandria via LeMat-Bulk). Values from VASP.

Quantum ESPRESSO input file:
```
&SYSTEM
  ibrav = 0, nat = 20, ntyp = 3
/
ATOMIC_SPECIES
Ac 227.00 Ac.upf
La 138.91 La.upf
Sm 150.36 Sm.upf
CELL_PARAMETERS angstrom
5.831 -8.603 0.000
5.831 8.603 0.000
-5.800 0.000 7.627
ATOMIC_POSITIONS crystal
Ac 0.023 0.977 0.750
Ac 0.110 0.382 0.742
Ac 0.382 0.110 0.242
Ac 0.618 0.890 0.758
Ac 0.890 0.618 0.258
Ac 0.977 0.023 0.250
La 0.031 0.295 0.066
La 0.295 0.031 0.566
La 0.705 0.969 0.434
La 0.969 0.705 0.934
Sm 0.218 0.782 0.750
Sm 0.239 0.494 0.470
Sm 0.279 0.721 0.250
Sm 0.470 0.530 0.250
Sm 0.494 0.239 0.970
Sm 0.506 0.761 0.030
Sm 0.530 0.470 0.750
Sm 0.721 0.279 0.750
Sm 0.761 0.506 0.530
Sm 0.782 0.218 0.250
```

## Properties
As for the magnetization: 0.00 μB/cell. The space group is C2/c. The energy relative to the elements is 153 kJ/mol of formula units.

---

# AcLa6Sm3

A relaxed AcLa6Sm3 crystal (GGA-PBE, Alexandria via LeMat-Bulk). Values from VASP.

Quantum ESPRESSO input file:
```
&SYSTEM
  ibrav = 0, nat = 20, ntyp = 3
/
ATOMIC_SPECIES
Ac 227.00 Ac.upf
La 138.91 La.upf
Sm 150.36 Sm.upf
CELL_PARAMETERS angstrom
6.904 -8.112 0.000
6.904 8.112 0.000
0.000 0.000 6.669
ATOMIC_POSITIONS crystal
Ac 0.158 0.842 0.500
Ac 0.842 0.158 0.000
La 0.044 0.451 0.338
La 0.064 0.936 0.958
La 0.257 0.743 0.039
La 0.306 0.455 0.997
La 0.451 0.044 0.838
La 0.455 0.306 0.497
La 0.545 0.694 0.997
La 0.549 0.956 0.338
La 0.694 0.545 0.497
La 0.743 0.257 0.539
La 0.936 0.064 0.458
La 0.956 0.549 0.838
Sm 0.156 0.236 0.703
Sm 0.236 0.156 0.203
Sm 0.381 0.619 0.505
Sm 0.619 0.381 0.005
Sm 0.764 0.844 0.703
Sm 0.844 0.764 0.203
```

## Properties
As for the magnetization: 0.00 μB/cell. The space group is Cmc2_1. The energy relative to the elements is 169 kJ/mol of formula units. For the energy above the lowest structure with this stoichiometry, the calculation gives 0.00 eV per formula unit.